(A)
A geometry-optimized SbSe2Br structure, computed with PBE.

Calculated values
* space group: P4mm (99)
* volume: 28.1 Å³/atom
* total magnetization: 0.00 μB/cell

extended XYZ file:
```
4
Lattice="3.768 0.000 0.000 0.000 3.768 0.000 0.000 0.000 7.932" Properties=species:S:1:pos:R:3 pbc="T T T"
Sb 0.000 0.000 0.000
Se 0.000 0.000 2.697
Se 1.884 1.884 2.055
Br 1.884 1.884 6.012
```

***

(B)
A geometry-optimized SbSe2Br structure, computed with PBE.

Calculated values
* space group: Pm (6)
* volume: 37.1 Å³/atom
* total magnetization: 0.00 μB/cell

extended XYZ file:
```
4
Lattice="3.850 0.000 0.000 0.000 5.463 0.000 -0.513 0.000 7.063" Properties=species:S:1:pos:R:3 pbc="T T T"
Sb 0.000 0.000 0.000
Se 1.416 0.000 5.261
Se 3.055 2.732 0.438
Br 0.053 2.732 2.647
```

***

Which one sits at the top of the stability order? (B) does.

***

(A)
A geometry-optimized SbSe2Br structure, computed with PBE.

Calculated values
* space group: P4/mmm (123)
* volume: 26.2 Å³/atom
* total magnetization: 0.00 μB/cell

extended XYZ file:
```
4
Lattice="3.864 0.000 0.000 0.000 3.864 0.000 0.000 0.000 7.008" Properties=species:S:1:pos:R:3 pbc="T T T"
Sb 0.000 0.000 0.000
Se 1.932 1.932 1.280
Se 1.932 1.932 5.728
Br 0.000 0.000 3.504
```

***

(B)
A geometry-optimized SbSe2Br structure, computed with PBE.

Calculated values
* space group: Fm-3m (225)
* volume: 23.2 Å³/atom
* total magnetization: 0.00 μB/cell

extended XYZ file:
```
4
Lattice="0.000 3.593 3.593 3.593 0.000 3.593 3.593 3.593 0.000" Properties=species:S:1:pos:R:3 pbc="T T T"
Sb 0.000 0.000 0.000
Se 1.797 1.797 1.797
Se 5.390 5.390 5.390
Br 3.593 3.593 3.593
```

***

(C)
A geometry-optimized SbSe2Br structure, computed with PBE.

Calculated values
* space group: I-4m2 (119)
* volume: 23.4 Å³/atom
* total magnetization: 0.00 μB/cell

extended XYZ file:
```
4
Lattice="-2.539 2.539 3.632 2.539 -2.539 3.632 2.539 2.539 -3.632" Properties=species:S:1:pos:R:3 pbc="T T T"
Sb 0.000 0.000 0.000
Se 2.539 0.000 1.816
Se 0.000 0.000 3.632
Br 0.000 2.539 1.816
```

***

(D)
A geometry-optimized SbSe2Br structure, computed with PBE.

Calculated values
* space group: R3m (160)
* volume: 28.4 Å³/atom
* total magnetization: 1.47 μB/cell

extended XYZ file:
```
4
Lattice="1.947 1.124 8.646 -1.947 1.124 8.646 0.000 -2.248 8.646" Properties=species:S:1:pos:R:3 pbc="T T T"
Sb 0.000 0.000 0.000
Se 0.000 0.000 6.950
Se 0.000 0.000 13.592
Br 0.000 0.000 19.351
```

***

Which one sits at the top of the stability order? (A) does.

***

(A)
A geometry-optimized SbSe2Br structure, computed with PBE.

Calculated values
* space group: Cmmm (65)
* volume: 26.1 Å³/atom
* total magnetization: 0.00 μB/cell

extended XYZ file:
```
4
Lattice="2.705 -4.824 0.000 2.705 4.824 0.000 0.000 0.000 4.000" Properties=species:S:1:pos:R:3 pbc="T T T"
Sb 0.000 0.000 0.000
Se 1.353 2.412 2.000
Se 1.353 -2.412 2.000
Br 2.705 0.000 0.000
```

***

(B)
A geometry-optimized SbSe2Br structure, computed with PBE.

Calculated values
* space group: I-42d (122)
* volume: 29.9 Å³/atom
* total magnetization: 0.00 μB/cell

extended XYZ file:
```
8
Lattice="-3.818 3.818 4.103 3.818 -3.818 4.103 3.818 3.818 -4.103" Properties=species:S:1:pos:R:3 pbc="T T T"
Sb 0.000 0.000 0.000
Sb 0.000 3.818 2.052
Se 5.726 1.557 -1.026
Se 1.557 1.909 1.026
Se -1.909 2.261 3.077
Se 2.261 1.909 5.129
Br 3.818 0.000 2.052
Br 0.000 0.000 4.103
```

***

Which one sits at the top of the stability order? (B) does.

***

(A)
A geometry-optimized SbSe2Br structure, computed with PBE.

Calculated values
* space group: Cmm2 (35)
* volume: 26.8 Å³/atom
* total magnetization: 0.00 μB/cell

extended XYZ file:
```
4
Lattice="1.723 -3.354 0.000 1.723 3.354 0.000 0.000 0.000 9.288" Properties=species:S:1:pos:R:3 pbc="T T T"
Sb 0.000 0.000 0.000
Se 0.000 0.000 4.898
Se 1.723 0.000 6.685
Br 1.723 0.000 2.358
```

***

(B)
A geometry-optimized SbSe2Br structure, computed with PBE.

Calculated values
* space group: C2/m (12)
* volume: 28.7 Å³/atom
* total magnetization: 0.00 μB/cell

extended XYZ file:
```
4
Lattice="5.966 -1.830 0.000 5.966 1.830 0.000 -0.865 0.000 5.258" Properties=species:S:1:pos:R:3 pbc="T T T"
Sb 0.000 0.000 0.000
Se 2.942 0.000 4.700
Se 8.124 0.000 0.558
Br 5.533 0.000 2.629
```

***

Which one sits at the top of the stability order? (B) does.